Entry 1:
4
Lattice="0.000 3.084 3.084 3.084 0.000 3.084 3.084 3.084 0.000" Properties=species:S:1:pos:R:3 comment="CuOs2Au | the Alexandria database | PBE | relaxed" vol_a3_per_atom=14.67 dos_at_fermi_per_ev_cell=3.7 polymorph_energy_ev_per_atom=0.588 ef_ev_per_atom=0.841 pbc="T T T"
Os 1.542 1.542 1.542
Os 4.626 4.626 4.626
Au 3.084 3.084 3.084
Cu 0.000 0.000 0.000


Entry 2:
4
Lattice="-2.744 2.512 -2.988 -1.806 -2.040 -0.056 -2.267 1.826 3.618" Properties=species:S:1:pos:R:3 comment="CuOs2Au | the Alexandria database | PBE | relaxed" vol_a3_per_atom=15.10 dos_at_fermi_per_ev_cell=4.7 polymorph_energy_ev_per_atom=0.344 ef_ev_per_atom=0.597 pbc="T T T"
Au -2.390 1.203 -0.603
Cu -4.427 1.096 1.177
Os -2.243 1.795 3.569
Os -2.061 -0.076 1.830